No. 1
16
Lattice="-2.275 1.854 3.702 3.311 -1.721 2.897 9.745 15.645 -1.845" Properties=species:S:1:pos:R:3 comment="Ca3In12Ag GGA-PBE relaxed" total_energy_ry_per_atom=-0.208 formation_enthalpy_0k_ev_per_atom=-0.222 pbc="T T T"
In 2.948 3.969 2.839
In 2.779 0.943 1.236
In 2.492 6.755 1.163
In 4.977 10.744 0.693
In 10.278 12.982 -0.184
In -0.015 2.730 1.638
In 7.484 14.769 0.218
In 0.518 0.067 3.299
In 7.833 11.810 1.914
In 7.771 8.957 0.291
In 5.390 7.889 2.377
In 5.286 4.968 0.761
Ag 0.000 0.000 0.000
Ca 2.379 3.820 -0.451
Ca 4.873 7.823 -0.923
Ca 7.366 11.826 -1.395



No. 2
5
Lattice="-1.162 0.753 4.767 -4.142 -2.672 -0.587 2.552 -4.239 1.292" Properties=species:S:1:pos:R:3 comment="TeMoPS2 GGA-PBE relaxed" total_energy_ry_per_atom=-0.307 relative_energy_ev_per_fu=5.366 pbc="T T T"
Mo -1.376 -3.079 2.736
Te 0.000 0.000 0.000
S -2.071 -1.336 -0.293
S -0.581 0.377 2.383
P 1.276 -2.120 0.646



No. 3
16
Lattice="-4.093 4.291 -0.093 -4.543 -4.469 -6.293 -1.732 -1.465 8.664" Properties=species:S:1:pos:R:3 comment="Pa3Ga2Te3 GGA-PBE relaxed" total_energy_ry_per_atom=-0.448 pbc="T T T"
Pa -5.829 0.504 -3.891
Pa -4.121 2.329 5.192
Pa -5.533 0.888 0.861
Pa -2.807 -0.682 -2.494
Pa -4.834 -2.531 1.417
Pa -1.703 0.498 3.379
Te -2.310 -0.016 6.416
Te -4.399 -2.249 -4.700
Te -7.733 -1.192 1.693
Te -4.236 2.070 -1.686
Te -2.635 -0.451 0.586
Te -3.514 2.842 2.155
Ga -3.606 -3.468 -1.307
Ga -2.669 -2.466 3.678
Ga -4.715 -0.321 3.632
Ga -5.652 -1.322 -1.353